Entry 1:
## KPb (GGA-PBE)

Data for a geometry-optimized KPb structure.

Properties
**Distance to the lowest polymorph of the same formula**: 116 meV per atom
**Total DFT energy (no corrections)**: -2.528 eV/atom
**Space group**: Cmcm, No. 63
**Magnetization**: 0.00 μB per cell

Structure (extended XYZ):
```
4
Lattice="2.048 -7.182 0.000 2.048 7.182 0.000 0.000 0.000 5.297" Properties=species:S:1:pos:R:3 pbc="T T T"
K 2.048 4.889 3.973
K 2.048 -4.889 1.324
Pb 2.048 0.931 3.973
Pb 2.048 -0.931 1.324
```

Entry 2:
## CdSnO (GGA-PBE)

Data for a geometry-optimized CdSnO structure.

Properties
**Total DFT energy (no corrections)**: -3.875 eV/atom
**Space group**: Pm, No. 6
**Magnetization**: 0.00 μB per cell
**Formation energy (no corrections)**: -0.583 eV/atom

Structure (extended XYZ):
```
6
Lattice="3.288 0.000 0.000 0.000 5.262 0.000 -0.182 0.000 8.334" Properties=species:S:1:pos:R:3 pbc="T T T"
Cd 0.000 1.316 0.000
Cd 0.000 3.947 0.000
Sn 0.720 0.000 5.191
Sn 2.364 2.631 3.142
O 0.723 2.631 4.502
O 2.362 0.000 3.830
```

Entry 3:
## EuTlZnPd (GGA-PBE)

Data for a geometry-optimized EuTlZnPd structure.

Properties
**Total DFT energy (no corrections)**: -5.088 eV/atom
**Space group**: F-43m, No. 216
**Magnetization**: 7.05 μB per cell

Structure (extended XYZ):
```
4
Lattice="0.000 3.534 3.534 3.534 0.000 3.534 3.534 3.534 0.000" Properties=species:S:1:pos:R:3 pbc="T T T"
Eu 0.000 0.000 0.000
Tl 3.534 3.534 3.534
Zn 5.301 5.301 5.301
Pd 1.767 1.767 1.767
```